[1]
DFT (PBE-GGA) results for PmNiAgAs after structural relaxation.

Cell: 4.7640 4.7640 4.7640 Å, 60.00 60.00 60.00°
Closest atoms and distances in Å follow each position.
Fractional positions:
Ni 0.0000 0.0000 0.0000  4 Pm 2.92, 4 As 2.92
As 0.7500 0.7500 0.7500  4 Ni 2.92, 4 Ag 2.92
Ag 0.5000 0.5000 0.5000  4 As 2.92, 4 Pm 2.92
Pm 0.2500 0.2500 0.2500  4 Ag 2.92, 4 Ni 2.92

Formation energy, eV/atom: -0.2121
Total magnetization, μB/f.u.: 0.00
Symmetry: F-43m (216)
VASP energy, eV/atom: -4.720



[2]
DFT (PBE-GGA) results for TmIn2Hg after structural relaxation.

Cell: 4.5677 4.5795 4.5795 Å, 90.00 90.00 90.00°
Closest atoms and distances in Å follow each position.
Fractional positions:
Tm 0.5000 0.5000 0.5000  8 In 3.23, 4 Hg 3.24
Hg 0.5000 0.0000 0.0000  8 In 3.23, 4 Tm 3.24
In 0.0000 0.0000 0.5000  4 Tm 3.23, 4 Hg 3.23, 4 In 3.24
In 0.0000 0.5000 0.0000  4 Hg 3.23, 4 Tm 3.23, 4 In 3.24

Formation energy, eV/atom: -0.3441
Total magnetization, μB/f.u.: 0.00
Symmetry: P4/mmm (123)
VASP energy, eV/atom: -2.907



[3]
DFT (PBE-GGA) results for La2Si4NiRh3 after structural relaxation.

Cell: 4.2305 4.2305 9.8199 Å, 90.00 90.00 90.00°
Closest atoms and distances in Å follow each position.
Fractional positions:
La 0.5000 0.0000 0.2476  6 Rh 3.22-3.26, 8 Si 3.22-3.26, 2 Ni 3.26
La 0.0000 0.5000 0.7524  6 Rh 3.22-3.26, 8 Si 3.22-3.26, 2 Ni 3.26
Si 0.5000 0.5000 0.0000  4 Rh 2.45
Si 0.0000 0.0000 0.0000  4 Rh 2.45
Si 0.5000 0.0000 0.6217  2 Ni 2.43, 3 Rh 2.43-2.47
Si 0.0000 0.5000 0.3783  2 Ni 2.43, 3 Rh 2.43-2.47
Ni 0.5000 0.5000 0.5000  4 Si 2.43
Rh 0.0000 0.0000 0.5000  4 Si 2.43
Rh 0.5000 0.0000 0.8735  5 Si 2.45-2.47
Rh 0.0000 0.5000 0.1265  5 Si 2.45-2.47

Total magnetization, μB/f.u.: 0.00
Symmetry: P-4m2 (115)
Energy relative to the elements, uncorrected, eV per atom: -0.94
VASP energy, eV/atom: -6.876